CrFe2BiO6 after structural relaxation. Source: Alexandria, functional PBE+U.

The volume is 14.20 Å³ per atom. The calculation puts the magnetic moment at 52.00 Bohr magnetons per cell. As for the crystal system: monoclinic. The value obtained for the calculated total energy is -6.596 eV/atom.

The space group is C2/c (No. 15) and the conventional cell measures 9.0424, 11.0330 and 6.3671 Å, with angles of 90.00, 116.57 and 90.00 degrees. The asymmetric unit holds Cr at (0.0000, 0.2030, 0.2500), Fe at (0.1313, 0.4192, 0.6726), Bi at (0.0000, 0.1034, 0.7500), O at (0.1038, 0.2512, 0.5782), O at (0.1224, 0.0814, 0.1751) and O at (0.1245, 0.4457, 0.9714).